Material: Ba2CaV2Si4O14
Method: DFT, PBE+U
State: optimized geometry

POSCAR file:
```
Ba2CaV2Si4O14
1.0
-6.1659 -2.9917 4.5314
-2.6341 -7.0966 3.1939
3.7177 1.1296 6.3500
O V Ca Si Ba
14 2 1 4 2
Cartesian
-2.7218 -6.6870 8.1764 O
-4.4278 -5.0118 3.8732 O
-2.6888 -4.3077 7.0936 O
-2.4853 -1.9504 5.8955 O
-5.8271 -9.1090 12.6463 O
-3.7299 -2.4574 3.3087 O
-0.5733 -2.8183 7.6143 O
0.7217 0.1772 1.4378 O
-3.0576 -4.5193 11.4123 O
-2.0925 -4.4405 2.6559 O
-4.5622 -4.7241 8.9241 O
-4.6543 -5.9716 6.5159 O
-0.7937 -4.0928 5.3056 O
-1.3357 -6.4406 10.7930 O
1.9963 -0.1898 5.8898 V
-7.0895 -8.7562 8.1896 V
-1.0538 -6.2081 6.4744 Ca
-5.1911 -6.0060 4.9116 Si
-1.6491 -3.2520 6.4006 Si
0.0524 -2.8872 9.1851 Si
-3.6683 -5.4334 7.7638 Si
-4.1887 -7.0815 10.9367 Ba
-0.9735 -1.7843 3.1689 Ba
```

Computed properties:
Volume, Å³/atom: 13.94
Symmetry: C2, No. 5

=====

Material: Ba2CaV2Si4O14
Method: DFT, PBE+U
State: optimized geometry

POSCAR file:
```
Ba2CaV2Si4O14
1.0
-1.1894 5.5466 -1.6875
7.2870 -0.3065 -0.6061
-0.7579 -4.5935 -6.6908
O Si Ba V Ca
14 4 2 2 1
Cartesian
3.3646 0.9985 -3.1126 O
-0.5558 -2.0891 -5.5054 O
1.0453 1.9913 -2.3864 O
4.4674 -0.9858 -6.1398 O
6.3214 2.9856 -1.7809 O
2.5158 -1.8595 -7.8167 O
6.1897 0.3876 -2.5546 O
-1.1053 2.8139 -3.7761 O
2.4024 -0.1741 -0.6349 O
-0.7060 0.5779 -6.3735 O
2.5660 -2.5855 -5.1753 O
2.0425 -0.0841 -5.8908 O
2.8870 3.5304 -3.7141 O
4.2466 -4.3905 -6.6320 O
2.8832 -1.4290 -6.2892 Si
-0.6139 2.2044 -2.3876 Si
5.9417 -1.2281 -6.8899 Si
2.6349 2.3694 -2.5897 Si
1.1793 -0.8246 -3.4204 Ba
4.0770 1.9145 -5.7374 Ba
1.1802 1.0381 -7.3054 V
4.2643 -0.0771 -1.6487 V
-0.6087 -4.1992 -6.6425 Ca
```

Computed properties:
Volume, Å³/atom: 14.38
Symmetry: P1, No. 1

=====

Material: Ba2CaV2Si4O14
Method: DFT, PBE+U
State: optimized geometry

POSCAR file:
```
Ba2CaV2Si4O14
1.0
6.3513 -0.0259 0.0153
-1.6572 7.3936 -0.0154
-2.5485 -0.5925 7.5462
O Si Ca Ba V
14 4 1 2 2
Cartesian
0.0999 6.2339 5.7437 O
-1.4844 6.1609 0.5733 O
0.8177 3.1653 2.2106 O
-2.6800 6.3746 5.5911 O
0.5143 1.1886 5.6315 O
4.6366 0.6183 2.1819 O
2.8816 0.4224 0.3120 O
3.5106 3.3259 2.2913 O
3.0884 1.3481 7.4112 O
1.4840 3.6641 5.6195 O
2.0072 5.4983 1.5977 O
2.1121 -0.0673 2.7872 O
2.4675 3.3358 0.0364 O
-1.1850 3.2253 5.1107 O
2.1149 3.8678 1.6057 Si
1.7011 7.0796 1.7869 Si
0.3796 -0.4030 6.1470 Si
0.1220 2.8107 5.9003 Si
0.4517 0.9221 1.4606 Ca
-0.8950 4.9811 3.2012 Ba
3.1935 1.5995 4.7412 Ba
1.9674 5.4848 6.4031 V
4.0818 2.1271 0.7316 V
```

Computed properties:
Volume, Å³/atom: 15.40
Symmetry: P1, No. 1

=====

Material: Ba2CaV2Si4O14
Method: DFT, PBE+U
State: optimized geometry

POSCAR file:
```
Ba2CaV2Si4O14
1.0
-0.1079 5.5853 1.1410
0.5098 -1.5353 7.5502
7.5792 -2.1031 -3.2024
O Si V Ca Ba
14 4 2 1 2
Cartesian
0.2222 2.1162 4.3566 O
0.2437 -0.4246 2.4683 O
2.4735 0.7245 4.1863 O
5.4311 1.2786 1.4135 O
2.4357 3.4951 4.7486 O
2.4256 1.6797 -0.1601 O
5.4934 -1.3658 0.8739 O
5.8894 -2.2184 5.2501 O
5.8234 0.3598 5.7790 O
2.4301 4.2963 0.3711 O
2.0741 2.5380 2.3344 O
0.1165 2.8899 0.6084 O
6.1299 -0.4642 3.2748 O
7.9416 -3.1570 2.3113 O
6.5932 -0.7842 4.8979 Si
6.2315 -0.1210 1.6096 Si
1.7495 2.8734 0.6713 Si
1.7797 2.2094 3.9258 Si
1.0404 -0.7388 3.9977 V
5.6478 3.0836 0.1172 V
3.6715 -1.0179 5.6583 Ca
3.0112 -0.1745 1.4713 Ba
5.3169 2.2867 3.9674 Ba
```

Computed properties:
Volume, Å³/atom: 14.72
Symmetry: P1, No. 1

=====

In order of appearance, VASP energy = -172.0; -173.6; -171.7; -171.8 eV per cell.